1.
Density functional theory data (PBE) for a relaxed structure of YPuAg2O6.

Geometry as extended XYZ:
```
10
Lattice="5.950 0.000 0.000 0.000 5.950 0.000 0.000 0.000 4.358" Properties=species:S:1:pos:R:3 pbc="T T T"
Y 0.000 0.000 0.000
Pu 2.975 2.975 0.080
Ag 0.000 2.975 2.036
Ag 2.975 0.000 2.036
O 0.000 0.000 2.193
O 1.603 1.603 0.101
O 1.603 4.347 0.101
O 2.975 2.975 2.261
O 4.347 1.603 0.101
O 4.347 4.347 0.101
```

Properties
Formation energy (no corrections) in eV/atom: -1.7920
Magnetization in μB/f.u.: 1.0

=====

2.
Density functional theory data (PBE) for a relaxed structure of YPuAg2O8.

Geometry as extended XYZ:
```
12
Lattice="-3.416 3.416 3.733 3.416 -3.416 3.733 3.416 3.416 -3.733" Properties=species:S:1:pos:R:3 pbc="T T T"
Y 0.000 0.000 0.000
Pu 3.416 0.000 1.867
Ag 0.000 0.000 3.733
Ag 0.000 3.416 1.867
O 1.954 3.416 -1.705
O 1.462 0.000 2.028
O 0.000 2.237 0.228
O 3.416 1.954 1.705
O 0.000 4.594 0.228
O 0.000 1.462 5.439
O -1.178 3.416 3.506
O 1.178 3.416 3.506
```

Properties
Formation energy (no corrections) in eV/atom: -1.3119
Magnetization in μB/f.u.: 0.1

=====

Number 2 is which compound? YPuAg2O8

=====

Look up the magnetization of the first one. 1.0 μB/f.u.

=====

The lowest formation energy (no corrections) belongs to which entry? YPuAg2O6

=====

Please write out number 1 again, unchanged.
Density functional theory data (PBE) for a relaxed structure of YPuAg2O6.

Geometry as extended XYZ:
```
10
Lattice="5.950 0.000 0.000 0.000 5.950 0.000 0.000 0.000 4.358" Properties=species:S:1:pos:R:3 pbc="T T T"
Y 0.000 0.000 0.000
Pu 2.975 2.975 0.080
Ag 0.000 2.975 2.036
Ag 2.975 0.000 2.036
O 0.000 0.000 2.193
O 1.603 1.603 0.101
O 1.603 4.347 0.101
O 2.975 2.975 2.261
O 4.347 1.603 0.101
O 4.347 4.347 0.101
```

Properties
Formation energy (no corrections) in eV/atom: -1.7920
Magnetization in μB/f.u.: 1.0